(1)
# TiSb2IO PBE relaxed
# energy	-19.90	eV/cell
# uncorrected formation energy	0.549	eV per atom
# distance to the lowest polymorph of the same formula	400	meV/atom
data_TiSb2IO
_symmetry_space_group_name_H-M 'P 1'
_symmetry_Int_Tables_number 1
_symmetry_space_group_name_Hall 'P 1'
_cell_length_a 5.2505
_cell_length_b 5.2505
_cell_length_c 5.1660
_cell_angle_alpha 90.00
_cell_angle_beta 90.00
_cell_angle_gamma 90.00
loop_
_atom_site_label
_atom_site_type_symbol
_atom_site_fract_x
_atom_site_fract_y
_atom_site_fract_z
Sb1 Sb 0.0000 0.5000 0.0000
Sb2 Sb 0.5000 0.0000 0.0000
I1 I 0.0000 0.0000 0.5000
O1 O 0.5000 0.5000 0.5000
Ti1 Ti 0.0000 0.0000 0.0000

=====

(2)
# RbNa2U3Se8 PBE relaxed
# energy	-81.31	eV/cell
# uncorrected formation energy	-1.141	eV per atom
data_RbNa2U3Se8
_symmetry_space_group_name_H-M 'P 1'
_symmetry_Int_Tables_number 1
_symmetry_space_group_name_Hall 'P 1'
_cell_length_a 8.5801
_cell_length_b 8.5801
_cell_length_c 8.9954
_cell_angle_alpha 61.52
_cell_angle_beta 61.52
_cell_angle_gamma 60.00
loop_
_atom_site_label
_atom_site_type_symbol
_atom_site_fract_x
_atom_site_fract_y
_atom_site_fract_z
Na1 Na 0.4981 0.4981 0.5056
Na2 Na 0.1178 0.1178 0.6467
Se1 Se 0.2499 0.2499 0.7949
Se2 Se 0.7053 0.2499 0.7949
Se3 Se 0.7300 0.7300 0.8099
Se4 Se 0.7444 0.3144 0.1968
Se5 Se 0.7444 0.7444 0.1968
Se6 Se 0.2499 0.7053 0.7949
Se7 Se 0.3144 0.7444 0.1968
Se8 Se 0.2654 0.2654 0.2039
U1 U 0.4998 0.0028 0.9976
U2 U 0.4998 0.4998 0.9976
U3 U 0.0028 0.4998 0.9976
Rb1 Rb 0.8708 0.8708 0.3876

=====

(3)
# CaMgGaFe2 PBE relaxed
# energy	-19.09	eV/cell
# DFT formation energy	0.891	eV/atom
data_CaMgGaFe2
_symmetry_space_group_name_H-M 'P 1'
_symmetry_Int_Tables_number 1
_symmetry_space_group_name_Hall 'P 1'
_cell_length_a 4.5429
_cell_length_b 4.7264
_cell_length_c 4.5429
_cell_angle_alpha 90.00
_cell_angle_beta 90.00
_cell_angle_gamma 90.00
loop_
_atom_site_label
_atom_site_type_symbol
_atom_site_fract_x
_atom_site_fract_y
_atom_site_fract_z
Fe1 Fe 0.5000 0.0000 0.0000
Fe2 Fe 0.0000 0.0000 0.5000
Mg1 Mg 0.0000 0.0000 0.0000
Ga1 Ga 0.0000 0.5000 0.0000
Ca1 Ca 0.5000 0.5000 0.5000

=====

(4)
# Sm2Dy2In PBE relaxed
# energy	-19.86	eV/cell
# DFT formation energy	0.304	eV/atom
# distance to the lowest polymorph of the same formula	270	meV/atom
data_Sm2Dy2In
_symmetry_space_group_name_H-M 'P 1'
_symmetry_Int_Tables_number 1
_symmetry_space_group_name_Hall 'P 1'
_cell_length_a 4.3668
_cell_length_b 4.3668
_cell_length_c 9.2122
_cell_angle_alpha 103.71
_cell_angle_beta 103.71
_cell_angle_gamma 90.00
loop_
_atom_site_label
_atom_site_type_symbol
_atom_site_fract_x
_atom_site_fract_y
_atom_site_fract_z
Sm1 Sm 0.2500 0.7500 0.5000
Sm2 Sm 0.7500 0.2500 0.5000
Dy1 Dy 0.4125 0.4125 0.8251
Dy2 Dy 0.5875 0.5875 0.1749
In1 In 0.0000 0.0000 0.0000

=====

(5)
# RbYHf PBE relaxed
# energy	-21.82	eV/cell
# DFT formation energy	2.159	eV/atom
# distance to the lowest polymorph of the same formula	1913	meV/atom
data_RbYHf
_symmetry_space_group_name_H-M 'P 1'
_symmetry_Int_Tables_number 1
_symmetry_space_group_name_Hall 'P 1'
_cell_length_a 6.4064
_cell_length_b 6.4064
_cell_length_c 10.9403
_cell_angle_alpha 90.00
_cell_angle_beta 90.00
_cell_angle_gamma 120.00
loop_
_atom_site_label
_atom_site_type_symbol
_atom_site_fract_x
_atom_site_fract_y
_atom_site_fract_z
Y1 Y 0.0000 0.0000 0.2500
Y2 Y 0.0000 0.0000 0.7500
Hf1 Hf 0.0000 0.0000 0.0000
Hf2 Hf 0.0000 0.0000 0.5000
Rb1 Rb 0.6667 0.3333 0.7500
Rb2 Rb 0.3333 0.6667 0.2500

=====

(6)
# LiHfTlSi2 PBE relaxed
# energy	-21.85	eV/cell
# uncorrected formation energy	0.646	eV per atom
data_LiHfTlSi2
_symmetry_space_group_name_H-M 'P 1'
_symmetry_Int_Tables_number 1
_symmetry_space_group_name_Hall 'P 1'
_cell_length_a 4.5004
_cell_length_b 4.6948
_cell_length_c 4.5004
_cell_angle_alpha 90.00
_cell_angle_beta 90.00
_cell_angle_gamma 90.00
loop_
_atom_site_label
_atom_site_type_symbol
_atom_site_fract_x
_atom_site_fract_y
_atom_site_fract_z
Si1 Si 0.0000 0.0000 0.5000
Si2 Si 0.5000 0.0000 0.0000
Hf1 Hf 0.5000 0.5000 0.5000
Li1 Li 0.0000 0.0000 0.0000
Tl1 Tl 0.0000 0.5000 0.0000